(1)
# U3H2O10, optimized geometry, DFT PBE-GGA
# Energy ... -8.595 eV per atom
# ΔE to the lowest computed polymorph ... 0.89 eV per formula unit
data_U3H2O10
_chemical_formula_sum 'U3 H2 O10'
_symmetry_space_group_name_H-M 'P -1'
_symmetry_Int_Tables_number 2
_cell_length_a 5.7264
_cell_length_b 5.8451
_cell_length_c 7.1277
_cell_angle_alpha 71.72
_cell_angle_beta 71.02
_cell_angle_gamma 73.62
loop_
_symmetry_equiv_pos_as_xyz
'x,y,z'
'-x,-y,-z'
loop_
_atom_site_label
_atom_site_fract_x
_atom_site_fract_y
_atom_site_fract_z
_atom_site_occupancy
U1 0.0000 0.0000 0.0000 1
U2 0.4593 0.5479 0.2597 1
H1 0.1210 0.2221 0.4961 1
O1 0.0644 0.8972 0.2613 1
O2 0.2088 0.3278 0.3670 1
O3 0.2981 0.2330 0.8750 1
O4 0.3127 0.6888 0.9608 1
O5 0.3444 0.6814 0.5354 1

(2)
# Be2IrPb, optimized geometry, DFT PBE-GGA
# Formation energy ... 0.76 eV/f.u.
# Energy ... -4.816 eV per atom
data_Be2IrPb
_chemical_formula_sum 'Be2 Ir1 Pb1'
_symmetry_space_group_name_H-M 'P 4 m m'
_symmetry_Int_Tables_number 99
_cell_length_a 3.0916
_cell_length_b 3.0916
_cell_length_c 6.4979
_cell_angle_alpha 90.00
_cell_angle_beta 90.00
_cell_angle_gamma 90.00
loop_
_symmetry_equiv_pos_as_xyz
'x,y,z'
'-y,x,z'
'-x,-y,z'
'y,-x,z'
'-x,y,z'
'y,x,z'
'x,-y,z'
'-y,-x,z'
loop_
_atom_site_label
_atom_site_fract_x
_atom_site_fract_y
_atom_site_fract_z
_atom_site_occupancy
Be1 0.0000 0.0000 0.0000 1
Be2 0.5000 0.5000 0.2014 1
Ir1 0.0000 0.0000 0.3291 1
Pb1 0.5000 0.5000 0.6945 1

(3)
# Pr5Er4Tm, optimized geometry, DFT PBE-GGA
# Formation energy ... 1.38 eV/f.u.
# Energy ... -4.524 eV per atom
# ΔE to the lowest computed polymorph ... 1.15 eV per formula unit
data_Pr5Er4Tm
_chemical_formula_sum 'Pr10 Er8 Tm2'
_symmetry_space_group_name_H-M 'C 1 2/m 1'
_symmetry_Int_Tables_number 12
_cell_length_a 18.2666
_cell_length_b 3.5984
_cell_length_c 10.5280
_cell_angle_alpha 90.00
_cell_angle_beta 96.19
_cell_angle_gamma 90.00
loop_
_symmetry_equiv_pos_as_xyz
'x,y,z'
'-x,-y,-z'
'-x,y,-z'
'x,-y,z'
'x+1/2,y+1/2,z'
'-x+1/2,-y+1/2,-z'
'-x+1/2,y+1/2,-z'
'x+1/2,-y+1/2,z'
loop_
_atom_site_label
_atom_site_fract_x
_atom_site_fract_y
_atom_site_fract_z
_atom_site_occupancy
Pr1 0.0000 0.0000 0.0000 1
Pr2 0.1410 0.5000 0.7268 1
Pr3 0.1899 0.5000 0.1013 1
Er1 0.0462 0.5000 0.2662 1
Er2 0.1820 0.0000 0.4160 1
Tm1 0.0000 0.0000 0.5000 1

(4)
# Na2SrIn2, optimized geometry, DFT PBE-GGA
# Formation energy ... -0.51 eV/f.u.
# Energy ... -2.062 eV per atom
# ΔE to the lowest computed polymorph ... 0.31 eV per formula unit
data_Na2SrIn2
_chemical_formula_sum 'Na4 Sr2 In4'
_symmetry_space_group_name_H-M 'P 4/m b m'
_symmetry_Int_Tables_number 127
_symmetry_space_group_name_Hall '-P 4 2ab'
_cell_length_a 8.8699
_cell_length_b 8.8699
_cell_length_c 4.1911
_cell_angle_alpha 90.00
_cell_angle_beta 90.00
_cell_angle_gamma 90.00
loop_
_atom_site_label
_atom_site_fract_x
_atom_site_fract_y
_atom_site_fract_z
_atom_site_occupancy
Na1 0.1709 0.3291 0.0000 1
Sr1 0.0000 0.0000 0.5000 1
In1 0.1214 0.6214 0.5000 1

(5)
# DyZrPb, optimized geometry, DFT PBE-GGA
# Formation energy ... -0.03 eV/f.u.
# Energy ... -5.631 eV per atom
# ΔE to the lowest computed polymorph ... 1.17 eV per formula unit
data_DyZrPb
_chemical_formula_sum 'Dy1 Zr1 Pb1'
_symmetry_space_group_name_H-M 'P 3 m 1'
_symmetry_Int_Tables_number 156
_cell_length_a 5.2587
_cell_length_b 5.2587
_cell_length_c 3.3959
_cell_angle_alpha 90.00
_cell_angle_beta 90.00
_cell_angle_gamma 120.00
loop_
_symmetry_equiv_pos_as_xyz
'x,y,z'
'-y,x-y,z'
'-x+y,-x,z'
'-y,-x,z'
'-x+y,y,z'
'x,x-y,z'
loop_
_atom_site_label
_atom_site_fract_x
_atom_site_fract_y
_atom_site_fract_z
_atom_site_occupancy
Dy1 0.0000 0.0000 0.0000 1
Zr1 0.6667 0.3333 0.5003 1
Pb1 0.3333 0.6667 0.4981 1

(6)
# DyCo2H6, optimized geometry, DFT PBE-GGA
# Energy ... -4.649 eV per atom
data_DyCo2H6
_chemical_formula_sum 'Dy1 Co2 H6'
_symmetry_space_group_name_H-M 'P 6/m m m'
_symmetry_Int_Tables_number 191
_symmetry_space_group_name_Hall '-P 6 2'
_cell_length_a 4.3403
_cell_length_b 4.3403
_cell_length_c 4.0870
_cell_angle_alpha 90.00
_cell_angle_beta 90.00
_cell_angle_gamma 120.00
loop_
_atom_site_label
_atom_site_fract_x
_atom_site_fract_y
_atom_site_fract_z
_atom_site_occupancy
Dy1 0.0000 0.0000 0.0000 1
Co1 0.3333 0.6667 0.5000 1
H1 0.0000 0.5000 0.2421 1

(7)
# LiLaPt2, optimized geometry, DFT PBE-GGA
# Formation energy ... 0.02 eV/f.u.
# Energy ... -4.725 eV per atom
data_LiLaPt2
_chemical_formula_sum 'Li3 La3 Pt6'
_symmetry_space_group_name_H-M 'R 3 m'
_symmetry_Int_Tables_number 160
_symmetry_space_group_name_Hall 'R 3 -2"'
_cell_length_a 3.0035
_cell_length_b 3.0035
_cell_length_c 30.4012
_cell_angle_alpha 90.00
_cell_angle_beta 90.00
_cell_angle_gamma 120.00
loop_
_atom_site_label
_atom_site_fract_x
_atom_site_fract_y
_atom_site_fract_z
_atom_site_occupancy
Li1 0.0000 0.0000 0.0000 1
La1 0.0000 0.0000 0.2217 1
Pt1 0.0000 0.0000 0.4736 1
Pt2 0.0000 0.0000 0.7301 1

(8)
# Ca2In2SnHg4, optimized geometry, DFT PBE-GGA
# Formation energy ... -1.21 eV/f.u.
# Energy ... -1.767 eV per atom
data_Ca2In2SnHg4
_chemical_formula_sum 'Ca4 In4 Sn2 Hg8'
_symmetry_space_group_name_H-M 'I 4/m m m'
_symmetry_Int_Tables_number 139
_symmetry_space_group_name_Hall '-I 4 2'
_cell_length_a 7.3002
_cell_length_b 7.3002
_cell_length_c 10.1270
_cell_angle_alpha 90.00
_cell_angle_beta 90.00
_cell_angle_gamma 90.00
loop_
_atom_site_label
_atom_site_fract_x
_atom_site_fract_y
_atom_site_fract_z
_atom_site_occupancy
Ca1 0.0000 0.0000 0.2010 1
In1 0.0000 0.5000 0.2500 1
Sn1 0.0000 0.0000 0.5000 1
Hg1 0.2260 0.2260 0.0000 1

Among the records above, which one has the lowest energy?
U3H2O10

Number 1 is which compound?
U3H2O10